(1)
Entry from Alexandria: crystalline CaInS3 at its relaxed geometry (PBE).

Structure (POSCAR):
```
CaInS3
1.0
5.3448 0.0000 0.0000
0.0000 5.3448 0.0000
0.0000 0.0000 5.3448
Ca S In
1 3 1
direct
0.0000 0.0000 0.0000
0.0000 0.5000 0.0000
0.0000 0.0000 0.5000
0.5000 0.0000 0.0000
0.5000 0.5000 0.5000
```

Properties
DOS at the Fermi energy, states/eV/f.u.: 3.5
Raw total energy, eV/atom: -3.53
Size of the total moment, μB per formula unit: 3.00
Symmetry: No. 221
Density, g cm⁻³: 2.73

***

(2)
Entry from Alexandria: crystalline Pr2HgSb at its relaxed geometry (PBE).

Structure (POSCAR):
```
Pr2HgSb
1.0
5.4811 0.0000 0.0000
2.7405 4.7467 0.0000
2.7405 1.5822 4.4753
Pr Sb Hg
2 1 1
direct
0.2500 0.2500 0.2500
0.7500 0.7500 0.7500
0.5000 0.5000 0.5000
0.0000 0.0000 0.0000
```

Properties
DOS at the Fermi energy, states/eV/f.u.: 3.2
Polymorph energy (0 for the lowest one), eV/atom: 0.088
Size of the total moment, μB per formula unit: 0.00
Symmetry: No. 225
Density, g cm⁻³: 8.62

***

(3)
Entry from Alexandria: crystalline Ho4Co at its relaxed geometry (PBE).

Structure (POSCAR):
```
Ho4Co
1.0
5.2414 0.0000 0.0000
0.0000 5.2414 0.0000
0.0000 0.0000 5.2414
Co Ho
1 4
direct
0.5000 0.5000 0.5000
0.0000 0.0000 0.0000
0.5000 0.0000 0.5000
0.0000 0.5000 0.5000
0.5000 0.5000 0.0000
```

Properties
DOS at the Fermi energy, states/eV/f.u.: 7.7
Polymorph energy (0 for the lowest one), eV/atom: 0.059
Size of the total moment, μB per formula unit: 0.00
Symmetry: No. 221
Density, g cm⁻³: 8.29

***

> Which of these has the highest size of the total moment?

CaInS3

***

> Number 1 is which compound?

CaInS3

***

> The highest size of the total moment belongs to which entry?

CaInS3